Entry 1:
The following is a DFT calculation (PBE+U) of Li3Ho3MoO8 after structural relaxation.

Geometry as CIF:
```
data_Li3Ho3MoO8
_chemical_formula_sum 'Li3 Ho3 Mo1 O8'
_cell_length_a 6.6225
_cell_length_b 6.6752
_cell_length_c 6.2294
_cell_angle_alpha 121.44
_cell_angle_beta 90.00
_cell_angle_gamma 119.74
_space_group_name_H-M_alt 'P 1'
_space_group_IT_number 1
_space_group_name_Hall 'P 1'
loop_
_atom_site_label
_atom_site_type_symbol
_atom_site_fract_x
_atom_site_fract_y
_atom_site_fract_z
_atom_site_occupancy
Li1 Li 0.0000 0.0000 0.0000 1
Li2 Li 0.0000 0.5000 0.0000 1
Li3 Li 0.5000 0.5000 0.0000 1
Ho1 Ho 0.5000 0.0000 0.5000 1
Ho2 Ho 0.5000 0.5000 0.5000 1
Ho3 Ho 0.0000 0.5000 0.5000 1
Mo1 Mo 0.0000 0.0000 0.5000 1
O1 O 0.2593 0.5186 0.2689 1
O2 O 0.7407 0.4814 0.7311 1
O3 O 0.7683 0.5367 0.2715 1
O4 O 0.2317 0.4633 0.7285 1
O5 O 0.7757 0.0072 0.2770 1
O6 O 0.2243 0.9928 0.7230 1
O7 O 0.2316 0.0072 0.2770 1
O8 O 0.7684 0.9928 0.7230 1
```

Values from the calculation:
Space group: C2/m (12)
D(E_F), states/eV/cell: 0.0
V, A^3/atom: 12.743
Magnetization, μB/f.u.: 2.0
Total DFT energy (no corrections), eV per atom: -7.06

Entry 2:
The following is a DFT calculation (PBE+U) of Li7Ho3Mo8O32 after structural relaxation.

Geometry as CIF:
```
data_Li7Ho3Mo8O32
_chemical_formula_sum 'Li7 Ho3 Mo8 O32'
_cell_length_a 6.8751
_cell_length_b 9.9541
_cell_length_c 10.7562
_cell_angle_alpha 66.19
_cell_angle_beta 82.91
_cell_angle_gamma 74.76
_space_group_name_H-M_alt 'P 1'
_space_group_IT_number 1
_space_group_name_Hall 'P 1'
loop_
_atom_site_label
_atom_site_type_symbol
_atom_site_fract_x
_atom_site_fract_y
_atom_site_fract_z
_atom_site_occupancy
Li1 Li 0.5068 0.5047 0.5017 1
Li2 Li 0.9979 0.0024 0.5006 1
Li3 Li 0.4960 0.1394 0.6386 1
Li4 Li 0.9957 0.6362 0.6388 1
Li5 Li 0.0036 0.3587 0.3659 1
Li6 Li 0.5044 0.8614 0.3628 1
Li7 Li 0.7379 0.4770 0.8909 1
Ho1 Ho 0.2739 0.9550 0.9393 1
Ho2 Ho 0.7282 0.0460 0.0607 1
Ho3 Ho 0.2318 0.5417 0.0592 1
Mo1 Mo 0.3799 0.7698 0.7024 1
Mo2 Mo 0.8834 0.2720 0.7050 1
Mo3 Mo 0.1196 0.7265 0.2986 1
Mo4 Mo 0.6116 0.2293 0.3018 1
Mo5 Mo 0.3584 0.3553 0.8167 1
Mo6 Mo 0.8482 0.8562 0.8200 1
Mo7 Mo 0.1527 0.1435 0.1792 1
Mo8 Mo 0.6534 0.6424 0.1811 1
O1 O 0.5994 0.2887 0.9062 1
O2 O 0.0923 0.7932 0.9107 1
O3 O 0.9154 0.1918 0.0984 1
O4 O 0.4109 0.7076 0.0857 1
O5 O 0.6323 0.3066 0.6460 1
O6 O 0.1274 0.8065 0.6463 1
O7 O 0.8617 0.1956 0.3585 1
O8 O 0.3690 0.6957 0.3542 1
O9 O 0.0432 0.2636 0.5669 1
O10 O 0.5425 0.7677 0.5635 1
O11 O 0.4505 0.2258 0.4423 1
O12 O 0.9559 0.7293 0.4363 1
O13 O 0.4407 0.5970 0.8574 1
O14 O 0.9521 0.0950 0.8644 1
O15 O 0.0516 0.8965 0.1372 1
O16 O 0.5410 0.4075 0.1545 1
O17 O 0.3053 0.1982 0.7931 1
O18 O 0.7971 0.7037 0.7958 1
O19 O 0.1920 0.3017 0.2070 1
O20 O 0.6912 0.8029 0.2061 1
O21 O 0.3135 0.5166 0.6591 1
O22 O 0.8093 0.0146 0.6617 1
O23 O 0.1838 0.9858 0.3384 1
O24 O 0.6965 0.4888 0.3425 1
O25 O 0.6492 0.9220 0.9286 1
O26 O 0.1745 0.4089 0.9330 1
O27 O 0.8598 0.5946 0.0766 1
O28 O 0.3519 0.0768 0.0708 1
O29 O 0.3905 0.9335 0.7362 1
O30 O 0.8962 0.4383 0.7266 1
O31 O 0.1182 0.5597 0.2699 1
O32 O 0.6018 0.0681 0.2627 1
```

Values from the calculation:
Space group: P1 (1)
D(E_F), states/eV/cell: 0.0
V, A^3/atom: 12.993
Magnetization, μB/f.u.: 0.0
Total DFT energy (no corrections), eV per atom: -6.93

Question: Among the records above, which one has the highest magnetization?
Answer: Li3Ho3MoO8

Question: What is the formula in the second record?
Answer: Li7Ho3Mo8O32

Question: What is the V in the first record?
Answer: 12.743 A^3/atom